Entry 1:
First-principles (SCAN) data for a crystal of Mg2TlBI relaxed with PBEsol, as listed in the Alexandria database.

Results
SG	P4/mmm (123)
final energy	-118.76	eV/cell
ρ	3.4	g cm⁻³
E_form (uncorrected)	1544	meV/atom

abc: 5.5621 5.5621 6.2049
angles: 90.00 90.00 90.00
Atoms (fractional coordinates):
Mg (0.0000, 0.5000, 0.0000)
Mg (0.5000, 0.0000, 0.0000)
Tl (0.0000, 0.0000, 0.5000)
B (0.5000, 0.5000, 0.5000)
I (0.0000, 0.0000, 0.0000)

---

Entry 2:
First-principles (SCAN) data for a crystal of Mn3BI relaxed with PBEsol, as listed in the Alexandria database.

Results
SG	Pm-3m (221)
final energy	-97.45	eV/cell
ρ	7.3	g cm⁻³
E_form (uncorrected)	298	meV/atom

abc: 4.1009 4.1009 4.1009
angles: 90.00 90.00 90.00
Atoms (fractional coordinates):
Mn (0.0000, 0.0000, 0.5000)
Mn (0.0000, 0.5000, 0.0000)
Mn (0.5000, 0.0000, 0.0000)
B (0.0000, 0.0000, 0.0000)
I (0.5000, 0.5000, 0.5000)

---

Entry 3:
First-principles (SCAN) data for a crystal of MnBI2N relaxed with PBEsol, as listed in the Alexandria database.

Results
SG	P4/mmm (123)
final energy	-103.53	eV/cell
ρ	5.6	g cm⁻³
E_form (uncorrected)	985	meV/atom

abc: 5.3117 5.3117 3.5142
angles: 90.00 90.00 90.00
Atoms (fractional coordinates):
Mn (0.0000, 0.0000, 0.0000)
B (0.5000, 0.5000, 0.5000)
I (0.0000, 0.5000, 0.0000)
I (0.5000, 0.0000, 0.0000)
N (0.0000, 0.0000, 0.5000)

---

Entry 4:
First-principles (SCAN) data for a crystal of MnBIN2 relaxed with PBEsol, as listed in the Alexandria database.

Results
SG	P4/mmm (123)
final energy	-73.74	eV/cell
ρ	5.2	g cm⁻³
E_form (uncorrected)	1454	meV/atom

abc: 3.4193 3.4193 6.0728
angles: 90.00 90.00 90.00
Atoms (fractional coordinates):
Mn (0.0000, 0.0000, 0.0000)
B (0.5000, 0.5000, 0.5000)
I (0.5000, 0.5000, 0.0000)
N (0.0000, 0.5000, 0.5000)
N (0.5000, 0.0000, 0.5000)

---

Entry 5:
First-principles (SCAN) data for a crystal of MnSnBI2 relaxed with PBEsol, as listed in the Alexandria database.

Results
SG	P4/mmm (123)
final energy	-128.98	eV/cell
ρ	3.8	g cm⁻³
E_form (uncorrected)	1223	meV/atom

abc: 6.0477 6.0477 5.1838
angles: 90.00 90.00 90.00
Atoms (fractional coordinates):
Mn (0.0000, 0.0000, 0.0000)
Sn (0.0000, 0.0000, 0.5000)
B (0.5000, 0.5000, 0.0000)
I (0.0000, 0.5000, 0.5000)
I (0.5000, 0.0000, 0.5000)

---

Entry 6:
First-principles (SCAN) data for a crystal of MnBTe2I relaxed with PBEsol, as listed in the Alexandria database.

Results
SG	P4/mmm (123)
final energy	-133.17	eV/cell
ρ	6.4	g cm⁻³
E_form (uncorrected)	751	meV/atom

abc: 4.8272 4.8272 5.0057
angles: 90.00 90.00 90.00
Atoms (fractional coordinates):
Mn (0.0000, 0.0000, 0.0000)
B (0.5000, 0.5000, 0.5000)
Te (0.0000, 0.5000, 0.5000)
Te (0.5000, 0.0000, 0.5000)
I (0.5000, 0.5000, 0.0000)

---

Entry 7:
First-principles (SCAN) data for a crystal of BMoIN2 relaxed with PBEsol, as listed in the Alexandria database.

Results
SG	P4/mmm (123)
final energy	-87.16	eV/cell
ρ	7.0	g cm⁻³
E_form (uncorrected)	2096	meV/atom
energy above the lowest structure with this stoichiometry	830	meV per atom

abc: 3.7233 3.7233 4.4586
angles: 90.00 90.00 90.00
Atoms (fractional coordinates):
B (0.0000, 0.0000, 0.0000)
Mo (0.5000, 0.5000, 0.5000)
I (0.0000, 0.0000, 0.5000)
N (0.0000, 0.5000, 0.0000)
N (0.5000, 0.0000, 0.0000)

---

Entry 8:
First-principles (SCAN) data for a crystal of BMoIN2 relaxed with PBEsol, as listed in the Alexandria database.

Results
SG	P4/mmm (123)
final energy	-91.31	eV/cell
ρ	5.2	g cm⁻³
E_form (uncorrected)	1267	meV/atom
energy above the lowest structure with this stoichiometry	0	meV per atom

abc: 3.8503 3.8503 5.6386
angles: 90.00 90.00 90.00
Atoms (fractional coordinates):
B (0.0000, 0.0000, 0.0000)
Mo (0.5000, 0.5000, 0.5000)
I (0.5000, 0.5000, 0.0000)
N (0.0000, 0.5000, 0.5000)
N (0.5000, 0.0000, 0.5000)

---

Entry 9:
First-principles (SCAN) data for a crystal of BMo2PI relaxed with PBEsol, as listed in the Alexandria database.

Results
SG	P4/mmm (123)
final energy	-117.13	eV/cell
ρ	7.4	g cm⁻³
E_form (uncorrected)	1442	meV/atom

abc: 4.3132 4.3132 4.3644
angles: 90.00 90.00 90.00
Atoms (fractional coordinates):
B (0.0000, 0.0000, 0.0000)
Mo (0.0000, 0.5000, 0.0000)
Mo (0.5000, 0.0000, 0.0000)
P (0.5000, 0.5000, 0.5000)
I (0.0000, 0.0000, 0.5000)

---

Entry 10:
First-principles (SCAN) data for a crystal of BMoPd2I relaxed with PBEsol, as listed in the Alexandria database.

Results
SG	P4/mmm (123)
final energy	-134.48	eV/cell
ρ	6.2	g cm⁻³
E_form (uncorrected)	2025	meV/atom

abc: 4.8362 4.8362 5.0945
angles: 90.00 90.00 90.00
Atoms (fractional coordinates):
B (0.0000, 0.0000, 0.0000)
Mo (0.5000, 0.5000, 0.0000)
Pd (0.0000, 0.5000, 0.5000)
Pd (0.5000, 0.0000, 0.5000)
I (0.5000, 0.5000, 0.5000)

---

Entry 11:
First-principles (SCAN) data for a crystal of NaBIN2 relaxed with PBEsol, as listed in the Alexandria database.

Results
SG	P4/mmm (123)
final energy	-55.36	eV/cell
ρ	2.7	g cm⁻³
E_form (uncorrected)	2321	meV/atom

abc: 4.3984 4.3984 6.0420
angles: 90.00 90.00 90.00
Atoms (fractional coordinates):
Na (0.0000, 0.0000, 0.0000)
B (0.5000, 0.5000, 0.5000)
I (0.0000, 0.0000, 0.5000)
N (0.0000, 0.5000, 0.0000)
N (0.5000, 0.0000, 0.0000)

---

Entry 12:
First-principles (SCAN) data for a crystal of BPIN2 relaxed with PBEsol, as listed in the Alexandria database.

Results
SG	P4/mmm (123)
final energy	-63.95	eV/cell
ρ	4.3	g cm⁻³
E_form (uncorrected)	1840	meV/atom
energy above the lowest structure with this stoichiometry	456	meV per atom

abc: 3.4133 3.4133 6.5348
angles: 90.00 90.00 90.00
Atoms (fractional coordinates):
B (0.0000, 0.0000, 0.0000)
P (0.5000, 0.5000, 0.5000)
I (0.0000, 0.0000, 0.5000)
N (0.0000, 0.5000, 0.0000)
N (0.5000, 0.0000, 0.0000)

---

final energy of number 10 (BMoPd2I)? -134.48 eV/cell